Entry from the Alexandria database: an optimized crystal structure of HfMnBO5 (GGA+U).

Results
raw total energy: -8.52 eV/atom

Cell lengths 5.0916, 5.0916, 7.4758 Å; angles 102.69, 102.69, 107.70 degrees
Last column: nearest neighbours and their distance in Å.
Element x y z (fractional)
O  0.3445  0.9423  0.6731  1 B 1.55
Hf  0.0000  0.0000  0.5000  6 O 2.06-2.08
O  0.4262  0.2796  0.0956  1 B 1.46
Mn  0.3392  0.6608  0.2500  3 O 1.88-2.03
O  0.9423  0.3445  0.1731  1 B 1.55
Mn  0.6608  0.3392  0.7500  3 O 1.88-2.03
O  0.8897  0.1103  0.7500  1 Mn 1.88, 2 Hf 2.08
O  0.2796  0.4262  0.5956  1 B 1.46
Hf  0.0000  0.0000  0.0000  6 O 2.06-2.08
O  0.1103  0.8897  0.2500  1 Mn 1.88, 2 Hf 2.08
O  0.0577  0.6555  0.8269  1 B 1.55
O  0.6555  0.0577  0.3269  1 B 1.55
O  0.5738  0.7204  0.9044  1 B 1.46
B  0.6803  0.3197  0.2500  4 O 1.46-1.55
O  0.7204  0.5738  0.4044  1 B 1.46
B  0.3197  0.6803  0.7500  4 O 1.46-1.55